Record 1
First-principles (GGA-PBE) data for CdNiBiRu2 after structural relaxation, as listed in the Alexandria database.

Cell and atoms, written as POSCAR:
```
CdNiBiRu2
1.0
-2.0307 4.2546 -1.6480
-3.1503 0.1967 4.3897
3.5142 2.6089 2.4051
Cd Ru Bi Ni
1 2 1 1
direct
0.0000 0.5000 0.0000
0.5000 0.0000 0.0000
0.0000 0.0000 0.5000
0.0000 0.0000 0.0000
0.5000 0.5000 0.5000
```

Values from the calculation:
* density of states at the Fermi level: 11.10 states/eV per cell
* ΔH_f (0 K): 2.006 eV per atom


Record 2
First-principles (GGA-PBE) data for InPbO3 after structural relaxation, as listed in the Alexandria database.

Cell and atoms, written as POSCAR:
```
InPbO3
1.0
4.1739 0.0000 0.0000
0.0000 4.1739 0.0000
0.0000 0.0000 4.1739
O Pb In
3 1 1
direct
0.0000 0.0000 0.5000
0.0000 0.5000 0.0000
0.5000 0.0000 0.0000
0.5000 0.5000 0.5000
0.0000 0.0000 0.0000
```

Values from the calculation:
* density of states at the Fermi level: 3.79 states/eV per cell
* ΔE_f (raw): -0.872 eV/atom


Record 3
First-principles (GGA-PBE) data for PdNCl2 after structural relaxation, as listed in the Alexandria database.

Cell and atoms, written as POSCAR:
```
PdNCl2
1.0
0.0000 3.2153 3.2153
3.2153 0.0000 3.2153
3.2153 3.2153 0.0000
Cl N Pd
2 1 1
direct
0.7500 0.7500 0.7500
0.2500 0.2500 0.2500
0.0000 0.0000 0.0000
0.5000 0.5000 0.5000
```

Values from the calculation:
* energy above the lowest structure with this stoichiometry: 1.69 eV/f.u.
* density of states at the Fermi level: 2.20 states/eV per cell
* ΔE_f (raw): 1.387 eV/atom


Record 4
First-principles (GGA-PBE) data for AgSnBiPd after structural relaxation, as listed in the Alexandria database.

Cell and atoms, written as POSCAR:
```
AgSnBiPd
1.0
-0.5549 -3.3938 -3.6200
3.9241 -1.3562 -2.7734
1.9734 -4.5562 0.5257
Ag Bi Sn Pd
1 1 1 1
direct
0.5000 0.5000 0.5000
0.7500 0.7500 0.7500
0.2500 0.2500 0.2500
0.0000 0.0000 0.0000
```

Values from the calculation:
* density of states at the Fermi level: 2.15 states/eV per cell
* ΔH_f (0 K): -0.080 eV per atom


Record 5
First-principles (GGA-PBE) data for Re2RuRh after structural relaxation, as listed in the Alexandria database.

Cell and atoms, written as POSCAR:
```
Re2RuRh
1.0
-2.5530 -4.0074 -0.3341
-2.2131 -3.5137 2.3334
-4.3523 1.8248 0.2168
Rh Ru Re
1 1 2
direct
0.7500 0.7500 0.7500
0.2500 0.2500 0.2500
0.5017 0.5017 0.4960
0.9983 0.9983 0.0040
```

Values from the calculation:
* energy above the lowest structure with this stoichiometry: 0.62 eV/f.u.
* density of states at the Fermi level: 4.27 states/eV per cell
* ΔH_f (0 K): 0.007 eV per atom


Record 6
First-principles (GGA-PBE) data for BaSeCl3 after structural relaxation, as listed in the Alexandria database.

Cell and atoms, written as POSCAR:
```
BaSeCl3
1.0
-2.4971 4.6488 -1.0176
-4.3763 -2.6947 -1.5713
-1.8694 0.0986 5.0376
Cl Se Ba
3 1 1
direct
0.0000 0.0000 0.5000
0.0000 0.5000 0.0000
0.5000 0.0000 0.0000
0.0000 0.0000 0.0000
0.5000 0.5000 0.5000
```

Values from the calculation:
* energy above the lowest structure with this stoichiometry: 0.00 eV/f.u.
* density of states at the Fermi level: 1.24 states/eV per cell
* ΔE_f (raw): -1.003 eV/atom


Record 7
First-principles (GGA-PBE) data for Ca5Ge2Pb2 after structural relaxation, as listed in the Alexandria database.

Cell and atoms, written as POSCAR:
```
Ca5Ge2Pb2
1.0
-4.7910 2.9407 -5.3406
-2.9280 -7.0417 -1.2507
-8.4179 2.8773 3.5072
Ca Ge Pb
10 4 4
direct
0.0000 0.0000 0.0000
0.8013 0.8206 0.7567
0.4419 0.1794 0.7567
0.5000 0.5000 0.0000
0.5581 0.8206 0.2433
0.6987 0.3206 0.2433
0.9419 0.3206 0.7567
0.1987 0.1794 0.2433
0.0581 0.6794 0.2433
0.3013 0.6794 0.7567
0.8823 0.6180 0.0000
0.1177 0.3820 0.0000
0.6177 0.1180 0.0000
0.3823 0.8820 0.0000
0.7708 0.0000 0.4583
0.2708 0.5000 0.4583
0.2292 0.0000 0.5417
0.7292 0.5000 0.5417
```

Values from the calculation:
* density of states at the Fermi level: 9.96 states/eV per cell
* ΔH_f (0 K): -0.574 eV per atom


Record 8
First-principles (GGA-PBE) data for Li5Gd after structural relaxation, as listed in the Alexandria database.

Cell and atoms, written as POSCAR:
```
Li5Gd
1.0
-2.4390 -2.1507 0.8598
3.6205 -3.3937 1.7814
-2.2057 4.9268 6.0665
Li Gd
5 1
direct
0.5000 0.1876 0.3752
0.5000 0.5000 0.0000
0.5000 0.8124 0.6248
0.0000 0.6529 0.3058
0.0000 0.3471 0.6942
0.0000 0.0000 0.0000
```

Values from the calculation:
* density of states at the Fermi level: 5.57 states/eV per cell
* ΔH_f (0 K): 0.099 eV per atom